A plane-wave DFT calculation with GGA-PBE was carried out for an optimized crystal structure of NaLi2MgBr6.

Magnetization in μB/f.u.: 0.167
Density in Mg/m³: 3.2
Formation energy (no corrections) in eV per atom: -1.270

Cell lengths 9.992, 9.992, 6.249 Å; angles 107.96, 107.96, 80.83 degrees
Fractional positions:
Na (0.207, 0.793, 0.750)
Na (0.793, 0.207, 0.250)
Li (0.122, 0.365, 0.905)
Li (0.365, 0.122, 0.405)
Li (0.635, 0.878, 0.595)
Li (0.878, 0.635, 0.095)
Mg (0.414, 0.586, 0.250)
Mg (0.586, 0.414, 0.750)
Br (0.128, 0.130, 0.505)
Br (0.130, 0.128, 0.005)
Br (0.148, 0.592, 0.274)
Br (0.313, 0.474, 0.807)
Br (0.408, 0.852, 0.226)
Br (0.474, 0.313, 0.307)
Br (0.526, 0.687, 0.693)
Br (0.592, 0.148, 0.774)
Br (0.687, 0.526, 0.193)
Br (0.852, 0.408, 0.726)
Br (0.870, 0.872, 0.995)
Br (0.872, 0.870, 0.495)